DFT (PBE with a Hubbard U) results for an optimized crystal structure of Li3MnFe2B3O9.

Lattice parameters (Å, degrees): 8.804 8.804 8.247 117.88 117.88 41.93
Sites, in units of the cell vectors:
Li (0.040, 0.540, 0.265)
Li (0.249, 0.751, 0.000)
Li (0.382, 0.881, 0.686)
Li (0.540, 0.040, 0.265)
Li (0.751, 0.249, 0.000)
Li (0.881, 0.382, 0.686)
Mn (0.147, 0.147, 0.358)
Mn (0.321, 0.321, 0.972)
Fe (0.450, 0.450, 0.617)
Fe (0.645, 0.645, 0.351)
Fe (0.821, 0.821, 0.977)
Fe (0.951, 0.951, 0.617)
B (0.056, 0.560, 0.651)
B (0.139, 0.139, 0.982)
B (0.225, 0.725, 0.318)
B (0.560, 0.056, 0.651)
B (0.640, 0.640, 0.982)
B (0.725, 0.225, 0.318)
O (0.015, 0.520, 0.764)
O (0.083, 0.083, 0.066)
O (0.098, 0.098, 0.788)
O (0.158, 0.653, 0.732)
O (0.169, 0.675, 0.124)
O (0.182, 0.679, 0.424)
O (0.237, 0.237, 0.096)
O (0.325, 0.819, 0.407)
O (0.505, 0.999, 0.457)
O (0.520, 0.015, 0.764)
O (0.586, 0.586, 0.070)
O (0.598, 0.598, 0.789)
O (0.653, 0.158, 0.732)
O (0.675, 0.169, 0.124)
O (0.679, 0.182, 0.424)
O (0.738, 0.738, 0.092)
O (0.819, 0.325, 0.407)
O (0.999, 0.505, 0.457)

- energy (eV/atom) = -7.04
- distance to the lowest polymorph of the same formula (meV/atom) = 0.0